# Mg2Si3Ni (PBE, relaxed)
# * N(E_F): 0.3056 states/eV/atom
# * spin magnetization: 0.000 μB per atom
# * SG: R-3m, No. 166
# * formation energy without anion corrections: -13.2 kJ/mol of atoms
# * calculated volume: 89.6 Å³ per cell
# * uncorrected energy: -26.06 eV per cell
data_Mg2Si3Ni
_chemical_formula_sum 'Mg2 Si3 Ni1'
_space_group_name_H-M_alt 'P 1'
_space_group_IT_number 1
_cell_length_a 4.892
_cell_length_b 4.892
_cell_length_c 4.892
_cell_angle_alpha 63.72
_cell_angle_beta 63.72
_cell_angle_gamma 63.72
loop_
_space_group_symop_operation_xyz
'x,y,z'
loop_
_atom_site_label
_atom_site_fract_x
_atom_site_fract_y
_atom_site_fract_z
Mg1 0.873 0.873 0.873
Si1 0.000 0.500 0.500
Si2 0.500 0.000 0.500
Mg2 0.127 0.127 0.127
Si3 0.500 0.500 0.000
Ni1 0.500 0.500 0.500